1:
# Cd2Cu2Sn PBE optimized geometry
# magnetic moment	0.000	μB/f.u.
# Fermi-level density of states	0.361	states/eV/atom
data_Cd2Cu2Sn
_cell_length_a 3.4201
_cell_length_b 3.4201
_cell_length_c 17.5268
_cell_angle_alpha 90.00
_cell_angle_beta 90.00
_cell_angle_gamma 90.00
_symmetry_space_group_name_H-M 'I 4/m m m'
_symmetry_Int_Tables_number 139
_symmetry_space_group_name_Hall '-I 4 2'
loop_
_atom_site_label
_atom_site_fract_x
_atom_site_fract_y
_atom_site_fract_z
Cd1 0.0000 0.0000 0.1254
Cu1 0.0000 0.5000 0.2500
Sn1 0.0000 0.0000 0.5000

***

2:
# Cd2Cu2Sn PBE optimized geometry
# magnetic moment	0.000	μB/f.u.
# Fermi-level density of states	0.586	states/eV/atom
data_Cd2Cu2Sn
_cell_length_a 7.9571
_cell_length_b 7.9571
_cell_length_c 3.0269
_cell_angle_alpha 90.00
_cell_angle_beta 90.00
_cell_angle_gamma 90.00
_symmetry_space_group_name_H-M 'P 4/m b m'
_symmetry_Int_Tables_number 127
_symmetry_space_group_name_Hall '-P 4 2ab'
loop_
_atom_site_label
_atom_site_fract_x
_atom_site_fract_y
_atom_site_fract_z
Cd1 0.1309 0.3691 0.0000
Cu1 0.1675 0.6675 0.5000
Sn1 0.0000 0.0000 0.0000

***

Most stable: 1

***

1:
# Cd2Cu2Sn PBE optimized geometry
# magnetic moment	0.000	μB/f.u.
# Fermi-level density of states	0.350	states/eV/atom
data_Cd2Cu2Sn
_cell_length_a 3.9531
_cell_length_b 3.9531
_cell_length_c 12.7750
_cell_angle_alpha 90.00
_cell_angle_beta 90.00
_cell_angle_gamma 90.00
_symmetry_space_group_name_H-M 'I 4/m m m'
_symmetry_Int_Tables_number 139
_symmetry_space_group_name_Hall '-I 4 2'
loop_
_atom_site_label
_atom_site_fract_x
_atom_site_fract_y
_atom_site_fract_z
Cd1 0.0000 0.5000 0.2500
Cu1 0.0000 0.0000 0.0939
Sn1 0.0000 0.0000 0.5000

***

2:
# Cd2Cu2Sn PBE optimized geometry
# magnetic moment	0.000	μB/f.u.
# Fermi-level density of states	0.220	states/eV/atom
data_Cd2Cu2Sn
_cell_length_a 4.5167
_cell_length_b 4.3768
_cell_length_c 9.8695
_cell_angle_alpha 90.00
_cell_angle_beta 90.00
_cell_angle_gamma 90.00
_symmetry_space_group_name_H-M 'P 1 21/m 1'
_symmetry_Int_Tables_number 11
loop_
_symmetry_equiv_pos_as_xyz
'x,y,z'
'-x,-y,-z'
'-x,y+1/2,-z'
'x,-y+1/2,z'
loop_
_atom_site_label
_atom_site_fract_x
_atom_site_fract_y
_atom_site_fract_z
Cd1 0.2500 0.2500 0.0071
Cd2 0.2498 0.2500 0.3198
Cu1 0.2490 0.7500 0.5001
Cu2 0.2501 0.7500 0.8344
Sn1 0.2510 0.2500 0.6759

***

Most stable: 2

***

1:
# SrCd3Cu PBE optimized geometry
# magnetic moment	0.000	μB/f.u.
# Fermi-level density of states	0.553	states/eV/atom
data_SrCd3Cu
_cell_length_a 6.5651
_cell_length_b 11.9292
_cell_length_c 6.4360
_cell_angle_alpha 90.00
_cell_angle_beta 90.00
_cell_angle_gamma 90.00
_symmetry_space_group_name_H-M 'C m c m'
_symmetry_Int_Tables_number 63
_symmetry_space_group_name_Hall '-C 2c 2'
loop_
_atom_site_label
_atom_site_fract_x
_atom_site_fract_y
_atom_site_fract_z
Sr1 0.0000 0.2475 0.2500
Cd1 0.0000 0.1471 0.7500
Cd2 0.2337 0.5000 0.0000
Cu1 0.0000 0.3655 0.7500

***

2:
# SrCd3Cu PBE optimized geometry
# magnetic moment	0.000	μB/f.u.
# Fermi-level density of states	0.387	states/eV/atom
data_SrCd3Cu
_cell_length_a 6.4930
_cell_length_b 6.4930
_cell_length_c 6.4930
_cell_angle_alpha 90.00
_cell_angle_beta 90.00
_cell_angle_gamma 90.00
_symmetry_space_group_name_H-M 'P m -3 m'
_symmetry_Int_Tables_number 221
_symmetry_space_group_name_Hall '-P 4 2 3'
loop_
_atom_site_label
_atom_site_fract_x
_atom_site_fract_y
_atom_site_fract_z
Sr1 0.0000 0.0000 0.0000
Cd1 0.0000 0.0000 0.5000
Cu1 0.5000 0.5000 0.5000

***

Most stable: 1

***

1:
# Sr2Cd2Cu PBE optimized geometry
# magnetic moment	0.000	μB/f.u.
# Fermi-level density of states	0.963	states/eV/atom
data_Sr2Cd2Cu
_cell_length_a 4.0777
_cell_length_b 4.0777
_cell_length_c 19.1782
_cell_angle_alpha 90.00
_cell_angle_beta 90.00
_cell_angle_gamma 90.00
_symmetry_space_group_name_H-M 'I 4/m m m'
_symmetry_Int_Tables_number 139
_symmetry_space_group_name_Hall '-I 4 2'
loop_
_atom_site_label
_atom_site_fract_x
_atom_site_fract_y
_atom_site_fract_z
Sr1 0.0000 0.0000 0.0954
Cd1 0.0000 0.5000 0.2500
Cu1 0.0000 0.0000 0.5000

***

2:
# Sr2Cd2Cu PBE optimized geometry
# magnetic moment	0.000	μB/f.u.
# Fermi-level density of states	1.060	states/eV/atom
data_Sr2Cd2Cu
_cell_length_a 6.4483
_cell_length_b 6.4483
_cell_length_c 7.9732
_cell_angle_alpha 90.00
_cell_angle_beta 90.00
_cell_angle_gamma 90.00
_symmetry_space_group_name_H-M 'I 4/m m m'
_symmetry_Int_Tables_number 139
_symmetry_space_group_name_Hall '-I 4 2'
loop_
_atom_site_label
_atom_site_fract_x
_atom_site_fract_y
_atom_site_fract_z
Sr1 0.0000 0.5000 0.2500
Cd1 0.0000 0.0000 0.1710
Cu1 0.0000 0.0000 0.5000

***

3:
# Sr2Cd2Cu PBE optimized geometry
# magnetic moment	0.000	μB/f.u.
# Fermi-level density of states	0.683	states/eV/atom
data_Sr2Cd2Cu
_cell_length_a 4.3815
_cell_length_b 6.3734
_cell_length_c 11.5735
_cell_angle_alpha 91.66
_cell_angle_beta 100.91
_cell_angle_gamma 110.03
_symmetry_space_group_name_H-M 'P -1'
_symmetry_Int_Tables_number 2
loop_
_symmetry_equiv_pos_as_xyz
'x,y,z'
'-x,-y,-z'
loop_
_atom_site_label
_atom_site_fract_x
_atom_site_fract_y
_atom_site_fract_z
Sr1 0.0704 0.2609 0.3790
Sr2 0.3460 0.3555 0.8372
Cd1 0.1274 0.8103 0.9438
Cd2 0.3617 0.8371 0.3847
Cu1 0.3692 0.0589 0.1777

***

4:
# Sr2Cd2Cu PBE optimized geometry
# magnetic moment	0.000	μB/f.u.
# Fermi-level density of states	0.778	states/eV/atom
data_Sr2Cd2Cu
_cell_length_a 7.6379
_cell_length_b 7.6379
_cell_length_c 5.1893
_cell_angle_alpha 90.00
_cell_angle_beta 90.00
_cell_angle_gamma 90.00
_symmetry_space_group_name_H-M 'P 4/m b m'
_symmetry_Int_Tables_number 127
_symmetry_space_group_name_Hall '-P 4 2ab'
loop_
_atom_site_label
_atom_site_fract_x
_atom_site_fract_y
_atom_site_fract_z
Sr1 0.1767 0.3233 0.0000
Cd1 0.1360 0.6360 0.5000
Cu1 0.0000 0.0000 0.5000

***

Most stable: 3